Entry 1:
KCeVO5 after structural relaxation, computed with PBE+U.

POSCAR file:
```
KCeVO5
1.0
-0.698 3.975 -4.793
-2.496 -5.412 -1.933
-5.158 2.672 5.530
O Ce V K
10 2 2 2
Direct
0.872 0.303 0.121
0.128 0.697 0.879
0.242 0.397 0.606
0.758 0.603 0.394
0.397 0.242 0.106
0.933 0.067 0.750
0.603 0.758 0.894
0.303 0.872 0.621
0.697 0.128 0.379
0.067 0.933 0.250
0.000 0.000 0.000
0.000 0.000 0.500
0.317 0.683 0.750
0.683 0.317 0.250
0.333 0.667 0.250
0.667 0.333 0.750
```

Values from the calculation:
The space-group type is C2/c (15).

***

Entry 2:
K4Ce3VO8 after structural relaxation, computed with PBE+U.

POSCAR file:
```
K4Ce3VO8
1.0
7.094 0.000 0.000
0.000 7.462 0.244
-3.547 -3.538 5.023
V O K Ce
1 8 4 3
Direct
0.000 0.500 0.000
0.772 0.314 0.042
0.228 0.686 0.457
0.228 0.686 0.958
0.270 0.314 0.042
0.772 0.314 0.543
0.269 0.307 0.538
0.730 0.686 0.958
0.731 0.693 0.462
0.500 0.000 0.500
0.000 0.000 0.000
0.500 0.000 0.000
0.000 0.000 0.500
0.000 0.500 0.500
0.500 0.500 0.500
0.500 0.500 0.000
```

Values from the calculation:
The space-group type is R-3m (166).

***

Entry 3:
KCeVO4 after structural relaxation, computed with PBE+U.

POSCAR file:
```
KCeVO4
1.0
5.865 0.000 -0.055
0.000 5.826 0.000
-2.254 0.000 7.738
O Ce V K
8 2 2 2
Direct
0.017 0.988 0.325
0.983 0.488 0.675
0.569 0.250 0.460
0.458 0.750 0.204
0.431 0.750 0.540
0.983 0.012 0.675
0.017 0.512 0.325
0.542 0.250 0.796
0.776 0.750 0.465
0.224 0.250 0.535
0.224 0.750 0.313
0.776 0.250 0.687
0.635 0.250 0.144
0.365 0.750 0.856
```

Values from the calculation:
The space-group type is P2_1/m (11).

***

Entry 4:
K3Ce3VO8 after structural relaxation, computed with PBE+U.

POSCAR file:
```
K3Ce3VO8
1.0
7.010 0.000 0.000
-3.505 6.071 -0.020
0.000 -4.026 6.273
O Ce V K
8 3 1 3
Direct
0.270 0.539 0.309
0.221 0.951 0.672
0.730 0.951 0.672
0.730 0.461 0.691
0.779 0.558 0.328
0.779 0.049 0.328
0.270 0.049 0.328
0.221 0.442 0.672
0.500 0.000 0.500
0.500 0.500 0.500
0.000 0.500 0.500
0.000 0.000 0.500
0.000 0.000 0.000
0.000 0.500 0.000
0.500 0.500 0.000
```

Values from the calculation:
The space-group type is R-3m (166).

***

Entry 5:
K3CeV2O8 after structural relaxation, computed with PBE+U.

POSCAR file:
```
K3CeV2O8
1.0
-1.435 5.825 1.127
-4.368 -4.263 -0.059
1.073 -1.204 7.591
K O V Ce
3 8 2 1
Direct
0.000 0.000 0.000
0.333 0.667 0.690
0.667 0.333 0.310
0.824 0.648 0.681
0.824 0.176 0.681
0.176 0.352 0.319
0.667 0.333 0.979
0.176 0.824 0.319
0.352 0.176 0.681
0.648 0.824 0.319
0.333 0.667 0.021
0.667 0.333 0.762
0.333 0.667 0.238
0.000 0.000 0.500
```

Values from the calculation:
The space-group type is P-3m1 (164).

***

Entry 6:
KCeW2O8 after structural relaxation, computed with PBE+U.

POSCAR file:
```
KCeW2O8
1.0
-3.198 -6.627 1.623
1.770 1.288 7.210
-6.050 0.559 4.587
O W Ce K
16 4 2 2
Direct
0.984 0.984 0.345
0.907 0.653 0.739
0.960 0.705 0.063
0.653 0.907 0.739
0.347 0.093 0.261
0.093 0.347 0.261
0.705 0.960 0.063
0.311 0.783 0.645
0.217 0.689 0.355
0.040 0.295 0.937
0.783 0.311 0.645
0.425 0.425 0.893
0.016 0.016 0.655
0.689 0.217 0.355
0.575 0.575 0.107
0.295 0.040 0.937
0.838 0.162 0.500
0.204 0.204 0.058
0.796 0.796 0.942
0.162 0.838 0.500
0.299 0.701 0.000
0.701 0.299 0.000
0.689 0.689 0.473
0.311 0.311 0.527
```

Values from the calculation:
The space-group type is C2/m (12).

***

Entry 7:
KCe2WO8 after structural relaxation, computed with PBE+U.

POSCAR file:
```
KCe2WO8
1.0
-5.018 -0.331 0.200
0.408 -3.593 3.140
-0.158 4.790 5.856
O Ce W K
8 2 1 1
Direct
0.850 0.233 0.811
0.150 0.767 0.189
0.177 0.795 0.817
0.467 0.268 0.499
0.308 0.261 0.009
0.533 0.732 0.501
0.823 0.205 0.183
0.692 0.739 0.991
0.492 0.490 0.762
0.508 0.510 0.238
0.000 0.000 0.000
0.000 0.000 0.500
```

Values from the calculation:
The space-group type is P-1 (2).

***

Entry 8:
KCeWO6 after structural relaxation, computed with PBE+U.

POSCAR file:
```
KCeWO6
1.0
5.733 0.013 0.003
2.878 4.959 -0.003
0.003 -0.005 5.776
O Ce W K
6 1 1 1
Direct
0.366 0.597 0.309
0.598 0.366 0.691
0.036 0.596 0.692
0.037 0.368 0.308
0.368 0.036 0.692
0.596 0.036 0.308
0.666 0.666 0.500
0.334 0.334 0.500
0.000 0.000 0.000
```

Values from the calculation:
The space-group type is C2 (5).

***

| no. | electronic total energy (eV/atom) |
| --- | --- |
| 1 | -7.4389 |
| 2 | -6.7471 |
| 3 | -7.3150 |
| 4 | -7.1158 |
| 5 | -6.8355 |
| 6 | -7.4763 |
| 7 | -7.4199 |
| 8 | -7.1096 |